This record from Alexandria via LeMat-Bulk describes a relaxed structure of BaZrTe2. The functional is PBE.

Output
* uncorrected formation energy: -0.749 eV per atom
* energy above the most stable polymorph in this dataset: 7.87 kcal/mol of atoms
* DFT total energy: -0.3629 Ry/atom
* magnetic moment: 2.0 μB/f.u.

abc: 7.0969 7.0969 14.6263
angles: 90.00 90.00 90.00
Space group I-42d (No. 122)
Symmetry-distinct sites (fractional):
1 Ba 0.0000 0.0000 0.0000
2 Zr 0.0000 0.0000 0.5000
3 Te 0.1811 0.2500 0.6250